(1)
Below is Tl8SnTe6 after structural relaxation, with properties calculated at the PBE level.

Output
Raw formation energy in meV per atom: -227
Symmetry: Pmn2_1 (31)
Volume in Å³ per cell: 1163

Cell lengths 9.2459, 10.4011, 12.0907 Å; angles 90.00, 90.00, 90.00 degrees
With the nearest neighbours (Å) after each atom.
Element x y z (fractional)
Tl  0.0000  0.1461  0.0000  4 Te 3.36-3.50, 2 Tl 3.66
Tl  0.0000  0.2693  0.3762  6 Tl 3.43-3.53, 3 Te 3.47-3.65
Tl  0.2118  0.5441  0.7807  3 Te 3.31-3.38, 2 Tl 3.49-3.55
Tl  0.2117  0.6824  0.0495  3 Te 3.20-3.28, 2 Tl 3.43-3.55
Tl  0.2476  0.0762  0.2285  3 Te 3.17-3.26, 1 Tl 3.53
Tl  0.2524  0.9238  0.7285  3 Te 3.17-3.26, 1 Tl 3.53
Tl  0.2883  0.3176  0.5495  3 Te 3.20-3.28, 2 Tl 3.43-3.55
Tl  0.2882  0.4559  0.2807  3 Te 3.31-3.38, 2 Tl 3.49-3.55
Tl  0.5000  0.7307  0.8762  6 Tl 3.43-3.53, 3 Te 3.47-3.65
Tl  0.5000  0.8539  0.5000  4 Te 3.36-3.50, 2 Tl 3.66
Tl  0.7117  0.3176  0.5495  3 Te 3.20-3.28, 2 Tl 3.43-3.55
Tl  0.7118  0.4559  0.2807  3 Te 3.31-3.38, 2 Tl 3.49-3.55
Tl  0.7476  0.9238  0.7285  3 Te 3.17-3.26, 1 Tl 3.53
Tl  0.7524  0.0762  0.2285  3 Te 3.17-3.26, 1 Tl 3.53
Tl  0.7882  0.5441  0.7807  3 Te 3.31-3.38, 2 Tl 3.49-3.55
Tl  0.7883  0.6824  0.0495  3 Te 3.20-3.28, 2 Tl 3.43-3.55
Sn  0.0000  0.7774  0.4353  4 Te 2.81-2.82
Sn  0.5000  0.2226  0.9353  4 Te 2.81-2.82
Te  0.0000  0.0085  0.5550  1 Sn 2.81
Te  0.0000  0.4532  0.1190  5 Tl 3.20-3.50
Te  0.0000  0.5478  0.5596  1 Sn 2.82
Te  0.0000  0.8421  0.8910  5 Tl 3.17-3.43
Te  0.2467  0.2223  0.8065  1 Sn 2.81
Te  0.2533  0.7777  0.3065  1 Sn 2.81
Te  0.5000  0.1579  0.3910  5 Tl 3.17-3.43
Te  0.5000  0.4522  0.0596  1 Sn 2.82
Te  0.5000  0.5468  0.6190  5 Tl 3.20-3.50
Te  0.5000  0.9915  0.0550  1 Sn 2.81
Te  0.7467  0.7777  0.3065  1 Sn 2.81
Te  0.7533  0.2223  0.8065  1 Sn 2.81

(2)
Below is TlSnTe2 after structural relaxation, with properties calculated at the PBE level.

Output
Raw formation energy in meV per atom: -79
Symmetry: P4/mmm (123)
Volume in Å³ per cell: 126

Cell lengths 3.8282, 3.8282, 8.6234 Å; angles 90.00, 90.00, 90.00 degrees
With the nearest neighbours (Å) after each atom.
Element x y z (fractional)
Tl  0.0000  0.0000  0.0000  8 Te 3.60, 4 Tl 3.83
Sn  0.0000  0.0000  0.5000  8 Te 3.33
Te  0.5000  0.5000  0.2755  4 Sn 3.33, 4 Tl 3.60
Te  0.5000  0.5000  0.7245  4 Sn 3.33, 4 Tl 3.60

(3)
Below is Tl2SnTe2 after structural relaxation, with properties calculated at the PBE level.

Output
Raw formation energy in meV per atom: 115
Symmetry: I4/mmm (139)
E above lowest polymorph in meV per atom: 374
Volume in Å³ per cell: 170

Cell lengths 9.6963, 9.6963, 9.6963 Å; angles 154.41, 154.41, 36.50 degrees
With the nearest neighbours (Å) after each atom.
Element x y z (fractional)
Tl  0.0945  0.0945  0.0000  1 Tl 3.48, 4 Sn 3.50, 4 Te 3.58
Tl  0.9055  0.9055  0.0000  1 Tl 3.48, 4 Sn 3.50, 4 Te 3.58
Sn  0.5000  0.5000  0.0000  8 Tl 3.50
Te  0.2500  0.7500  0.5000  4 Te 3.04
Te  0.7500  0.2500  0.5000  4 Te 3.04